(1)
{
  "formula": "Ac5CdCo2",
  "functional": "PBE-GGA",
  "state": "relaxed",
  "lattice": [[-3.592, -1.316, -7.374], [-5.638, -4.908, 3.623], [0.250, 8.931, 2.964]],
  "species": ["Ac", "Ac", "Ac", "Ac", "Ac", "Ac", "Ac", "Ac", "Ac", "Ac", "Co", "Co", "Co", "Co", "Cd", "Cd"],
  "fractional_positions": [[0.470, 0.290, 0.260], [0.790, 0.970, 0.260], [0.290, 0.790, 0.260], [0.210, 0.030, 0.740], [0.970, 0.470, 0.260], [0.500, 0.500, 0.000], [0.030, 0.530, 0.740], [0.710, 0.210, 0.740], [0.530, 0.710, 0.740], [0.000, 0.000, 0.000], [0.862, 0.638, 0.000], [0.362, 0.862, 0.000], [0.138, 0.362, 0.000], [0.638, 0.138, 0.000], [0.250, 0.250, 0.500], [0.750, 0.750, 0.500]],
  "delta_e_f_ev_per_atom": -0.059,
  "spacegroup": "I4/mcm"
}

(2)
{
  "formula": "NdMnNi2H8",
  "functional": "PBE-GGA",
  "state": "relaxed",
  "lattice": [[4.486, 0.000, 0.000], [2.243, 3.885, 0.000], [2.243, 1.295, 5.396]],
  "species": ["H", "H", "H", "H", "H", "H", "H", "H", "Ni", "Ni", "Nd", "Mn"],
  "fractional_positions": [[0.193, 0.193, 0.422], [0.297, 0.909, 0.152], [0.807, 0.807, 0.578], [0.703, 0.091, 0.848], [0.091, 0.358, 0.848], [0.358, 0.703, 0.848], [0.642, 0.297, 0.152], [0.909, 0.642, 0.152], [0.292, 0.292, 0.125], [0.708, 0.708, 0.875], [0.500, 0.500, 0.500], [0.000, 0.000, 0.000]],
  "spacegroup": "R-3"
}

(3)
{
  "formula": "Nb2PO",
  "functional": "PBE-GGA",
  "state": "relaxed",
  "lattice": [[-1.895, -1.669, 3.414], [0.505, 1.812, 3.807], [-3.248, 2.032, 1.832]],
  "species": ["Nb", "Nb", "P", "O"],
  "fractional_positions": [[0.250, 0.250, 0.250], [0.750, 0.750, 0.750], [0.500, 0.500, 0.500], [0.000, 0.000, 0.000]],
  "polymorph_energy_mev_per_atom": 0,
  "spacegroup": "Fm-3m"
}

Let's list electronic total energy in order: -72.3, -54.3, -33.6 eV/cell.
Let's list total magnetization in order: 0.00, 2.87, 0.00 μB/f.u..